VASP calculation (SCAN) on Cd3Te at its PBEsol-relaxed geometry.

POSCAR file:
```
Cd3Te
1.0
-1.596 2.236 0.914
-4.700 -3.660 -2.309
2.604 -1.675 5.588
Te Cd
1 3
Direct
0.500 0.000 0.000 Te
0.000 0.500 0.000 Cd
0.000 0.000 0.500 Cd
0.500 0.500 0.500 Cd
```

Values from the calculation:
formation energy (no corrections)	0.1615	eV per atom
energy	-31.9621	eV per atom
total moment	0.0	Bohr magnetons per cell
density of states at the Fermi level	2.07	states/eV/f.u.
excess energy over the best structure of this formula in the dataset	0.27	eV/f.u.
symmetry	R-3m (166)